DFT (GGA+U) results for a geometry-optimized HfMo2F structure.

a = 4.7385 Å, b = 4.7385 Å, c = 4.7385 Å
α = 60.00°, β = 60.00°, γ = 60.00°
Fractional coordinates of all 4 atoms:
Mo 0.2500 0.2500 0.2500
Mo 0.7500 0.7500 0.7500
Hf 0.5000 0.5000 0.5000
F 0.0000 0.0000 0.0000

Values from the calculation:
The density of states at the Fermi level is 9.15 states/eV/cell. Its space group is Fm-3m, No. 225. Its magnetic moment is 6.3 μB per formula unit. Its total energy is -22.34 eV per formula unit.